Record 1
Below is a relaxed structure of Ce3ErPb2, with properties calculated at the GGA-PBE level.

* calculated formation energy: -0.27 eV/atom
* electronic total energy: -62.83 eV/cell
* symmetry: No. 12
* size of the total moment: 2.89 Bohr magnetons per cell

abc: 4.2301 10.8916 9.4462
angles: 125.08 90.00 101.20
With the nearest neighbours (Å) after each atom.
Element x y z (fractional)
Ce 0.2950 0.5900 0.5167  2 Ce 2.75
Ce 0.9333 0.8665 0.4847  3 Ce 2.69-2.83
Ce 0.6256 0.2513 0.7615  2 Ce 2.83
Ce 0.3744 0.7487 0.2385  2 Ce 2.83
Ce 0.0667 0.1335 0.5153  3 Ce 2.69-2.83
Ce 0.7050 0.4100 0.4833  2 Ce 2.75
Er 0.8964 0.7928 0.9159  6 Pb 3.22-3.34
Er 0.1036 0.2072 0.0841  6 Pb 3.22-3.34
Pb 0.4796 0.9592 0.7988  4 Ce 3.22-3.34, 4 Er 3.22-3.34, 1 Pb 3.37
Pb 0.5204 0.0408 0.2012  4 Ce 3.22-3.34, 4 Er 3.22-3.34, 1 Pb 3.37
Pb 0.7395 0.4790 0.1897  2 Er 3.24, 7 Ce 3.26-3.38
Pb 0.2605 0.5210 0.8103  2 Er 3.24, 7 Ce 3.26-3.38

***

Record 2
Below is a relaxed structure of La3Tb6Sm2Y, with properties calculated at the GGA-PBE level.

* calculated formation energy: 0.02 eV/atom
* electronic total energy: -58.26 eV/cell
* symmetry: No. 12
* size of the total moment: 0.00 Bohr magnetons per cell

abc: 6.2793 6.2793 11.9498
angles: 95.02 95.02 120.02
With the nearest neighbours (Å) after each atom.
Element x y z (fractional)
La 0.1667 0.8333 0.5000  6 La 3.62-3.63, 6 Tb 3.64-3.65
La 0.8333 0.1667 0.5000  6 La 3.62-3.63, 6 Tb 3.64-3.65
La 0.5000 0.5000 0.5000  6 La 3.62-3.63, 6 Tb 3.64-3.65
Tb 0.9181 0.5845 0.7536  2 Sm 3.57-3.58, 1 Y 3.58, 6 Tb 3.62-3.63, 3 La 3.64-3.65
Tb 0.7483 0.7483 0.2464  2 Sm 3.57, 1 Y 3.58, 6 Tb 3.62-3.63, 3 La 3.64-3.65
Tb 0.0819 0.4155 0.2464  2 Sm 3.57-3.58, 1 Y 3.58, 6 Tb 3.62-3.63, 3 La 3.64-3.65
Tb 0.5845 0.9181 0.7536  2 Sm 3.57-3.58, 1 Y 3.58, 6 Tb 3.62-3.63, 3 La 3.64-3.65
Tb 0.2517 0.2517 0.7536  2 Sm 3.57, 1 Y 3.58, 6 Tb 3.62-3.63, 3 La 3.64-3.65
Tb 0.4155 0.0819 0.2464  2 Sm 3.57-3.58, 1 Y 3.58, 6 Tb 3.62-3.63, 3 La 3.64-3.65
Sm 0.3335 0.6665 0.0000  6 Tb 3.57-3.58, 3 Sm 3.62-3.63, 3 Y 3.62-3.63
Sm 0.6665 0.3335 0.0000  6 Tb 3.57-3.58, 3 Sm 3.62-3.63, 3 Y 3.62-3.63
Y 0.0000 0.0000 0.0000  6 Tb 3.58, 6 Sm 3.62-3.63

***

Record 3
Below is a relaxed structure of ErAg3F7, with properties calculated at the GGA-PBE level.

* formation energy (no corrections): -2156.3 meV per atom
* electronic total energy: -49.94 eV/cell
* symmetry: No. 8
* size of the total moment: 1.09 Bohr magnetons per cell

abc: 5.6378 5.6378 6.9169
angles: 63.76 63.76 87.43
With the nearest neighbours (Å) after each atom.
Element x y z (fractional)
Er 0.9600 0.9600 0.0273  7 F 2.17-2.28
Ag 0.7585 0.2427 0.4996  4 F 2.26-2.39
Ag 0.5041 0.5041 0.9960  5 F 2.33-2.61
Ag 0.2427 0.7585 0.4996  4 F 2.26-2.39
F 0.1633 0.1633 0.1301  1 Er 2.17, 1 Ag 2.33
F 0.6140 0.0882 0.2558  1 Er 2.23, 2 Ag 2.27-2.50
F 0.9490 0.3625 0.7661  1 Er 2.21, 1 Ag 2.26
F 0.0882 0.6140 0.2558  1 Er 2.23, 2 Ag 2.27-2.50
F 0.6077 0.6077 0.2856  1 Er 2.27, 2 Ag 2.33
F 0.3625 0.9490 0.7661  1 Er 2.21, 1 Ag 2.26
F 0.8749 0.8749 0.7679  1 Er 2.28, 3 Ag 2.39-2.41

***

Record 4
Below is a relaxed structure of In2Ag2Pb, with properties calculated at the GGA-PBE level.

* calculated formation energy: 0.04 eV/atom
* energy relative to the lowest polymorph listed for this composition: 0.0 meV/atom
* electronic total energy: -29.33 eV/cell
* symmetry: No. 127
* size of the total moment: 0.00 Bohr magnetons per cell

abc: 8.2972 8.2972 3.4761
angles: 90.00 90.00 90.00
With the nearest neighbours (Å) after each atom.
Element x y z (fractional)
Pb 0.0000 0.0000 0.0000  4 Ag 3.29, 2 Pb 3.48, 8 In 3.53
Pb 0.5000 0.5000 0.0000  4 Ag 3.29, 2 Pb 3.48, 8 In 3.53
Ag 0.3766 0.8766 0.0000  1 Ag 2.90, 6 In 2.95-3.04
Ag 0.8766 0.6234 0.0000  1 Ag 2.90, 6 In 2.95-3.04
Ag 0.6234 0.1234 0.0000  1 Ag 2.90, 6 In 2.95-3.04
Ag 0.1234 0.3766 0.0000  1 Ag 2.90, 6 In 2.95-3.04
In 0.1729 0.6729 0.5000  6 Ag 2.95-3.04
In 0.6729 0.8271 0.5000  6 Ag 2.95-3.04
In 0.8271 0.3271 0.5000  6 Ag 2.95-3.04
In 0.3271 0.1729 0.5000  6 Ag 2.95-3.04

***

Record 5
Below is a relaxed structure of HoCu4, with properties calculated at the GGA-PBE level.

* calculated formation energy: 1.41 eV/atom
* electronic total energy: -13.90 eV/cell
* symmetry: No. 221
* size of the total moment: 0.00 Bohr magnetons per cell

abc: 4.9846 4.9846 4.9846
angles: 90.00 90.00 90.00
With the nearest neighbours (Å) after each atom.
Element x y z (fractional)
Ho 0.5000 0.5000 0.5000  6 Cu 2.49
Cu 0.0000 0.0000 0.0000  12 Cu 3.52
Cu 0.5000 0.0000 0.5000  2 Ho 2.49
Cu 0.0000 0.5000 0.5000  2 Ho 2.49
Cu 0.5000 0.5000 0.0000  2 Ho 2.49

***

Record 6
Below is a relaxed structure of TaHg2Cl8, with properties calculated at the GGA-PBE level.

* formation energy (no corrections): -850.4 meV per atom
* electronic total energy: -36.58 eV/cell
* symmetry: No. 12
* size of the total moment: 0.53 Bohr magnetons per cell

abc: 6.7589 7.6818 8.7860
angles: 98.69 90.00 116.10
With the nearest neighbours (Å) after each atom.
Element x y z (fractional)
Ta 0.0000 0.0000 0.0000  6 Cl 2.35-2.46
Hg 0.8348 0.6696 0.6066  2 Cl 2.39-2.52
Hg 0.1652 0.3304 0.3934  2 Cl 2.39-2.52
Cl 0.8802 0.2453 0.0572  1 Ta 2.35
Cl 0.3652 0.2453 0.0572  1 Ta 2.35
Cl 0.1198 0.7547 0.9428  1 Ta 2.35
Cl 0.3331 0.6661 0.5164  1 Hg 2.39
Cl 0.6348 0.7547 0.9428  1 Ta 2.35
Cl 0.9855 0.9710 0.2754  1 Ta 2.46, 1 Hg 2.52
Cl 0.0145 0.0290 0.7246  1 Ta 2.46, 1 Hg 2.52
Cl 0.6669 0.3339 0.4836  1 Hg 2.39

***

Record 7
Below is a relaxed structure of Pm11Zn9Ni4, with properties calculated at the GGA-PBE level.

* calculated formation energy: -0.34 eV/atom
* electronic total energy: -95.03 eV/cell
* symmetry: No. 65
* size of the total moment: 0.00 Bohr magnetons per cell

abc: 3.6496 12.7144 12.7144
angles: 112.75 90.00 90.00
With the nearest neighbours (Å) after each atom.
Element x y z (fractional)
Pm 0.0000 0.5867 0.9283  2 Ni 2.78, 2 Zn 3.11
Pm 0.0000 0.4133 0.0717  2 Ni 2.78, 2 Zn 3.11
Pm 0.0000 0.9283 0.5867  2 Ni 2.78, 2 Zn 3.11
Pm 0.0000 0.0717 0.4133  2 Ni 2.78, 2 Zn 3.11
Pm 0.0000 0.6269 0.3731  4 Ni 2.87
Pm 0.0000 0.3731 0.6269  4 Ni 2.87
Pm 0.0000 0.8325 0.1675  8 Zn 3.13-3.44, 2 Pm 3.42
Pm 0.0000 0.1675 0.8325  8 Zn 3.13-3.44, 2 Pm 3.42
Pm 0.0000 0.0000 0.0000  8 Zn 3.13
Pm 0.0000 0.6962 0.6962  4 Ni 2.87
Pm 0.0000 0.3038 0.3038  4 Ni 2.87
Zn 0.5000 0.6317 0.1664  1 Zn 2.84, 1 Ni 2.89, 4 Pm 3.13-3.15
Zn 0.5000 0.3683 0.8336  1 Zn 2.84, 1 Ni 2.89, 4 Pm 3.13-3.15
Zn 0.5000 0.1664 0.6317  1 Zn 2.84, 1 Ni 2.89, 4 Pm 3.13-3.15
Zn 0.5000 0.8336 0.3683  1 Zn 2.84, 1 Ni 2.89, 4 Pm 3.13-3.15
Zn 0.5000 0.7830 0.9235  1 Ni 2.90, 1 Zn 2.98, 6 Pm 3.11-3.23
Zn 0.5000 0.2170 0.0765  1 Ni 2.90, 1 Zn 2.98, 6 Pm 3.11-3.23
Zn 0.5000 0.9235 0.7830  1 Ni 2.90, 1 Zn 2.98, 6 Pm 3.11-3.23
Zn 0.5000 0.0765 0.2170  1 Ni 2.90, 1 Zn 2.98, 6 Pm 3.11-3.23
Zn 0.5000 0.5000 0.5000  4 Ni 3.02, 8 Pm 3.25-3.31
Ni 0.5000 0.5519 0.7531  6 Pm 2.78-2.87, 3 Zn 2.89-3.02
Ni 0.5000 0.4481 0.2469  6 Pm 2.78-2.87, 3 Zn 2.89-3.02
Ni 0.5000 0.7531 0.5519  6 Pm 2.78-2.87, 3 Zn 2.89-3.02
Ni 0.5000 0.2469 0.4481  6 Pm 2.78-2.87, 3 Zn 2.89-3.02

***

Record 8
Below is a relaxed structure of ScAl2Pb2, with properties calculated at the GGA-PBE level.

* calculated formation energy: 0.05 eV/atom
* electronic total energy: -41.93 eV/cell
* symmetry: No. 127
* size of the total moment: 0.00 Bohr magnetons per cell

abc: 7.6527 7.6527 4.0893
angles: 90.00 90.00 90.00
With the nearest neighbours (Å) after each atom.
Element x y z (fractional)
Pb 0.1756 0.6756 0.5000  6 Al 2.98-3.10
Pb 0.6756 0.8244 0.5000  6 Al 2.98-3.10
Pb 0.8244 0.3244 0.5000  6 Al 2.98-3.10
Pb 0.3244 0.1756 0.5000  6 Al 2.98-3.10
Sc 0.0000 0.0000 0.0000  4 Al 3.03
Sc 0.5000 0.5000 0.0000  4 Al 3.03
Al 0.3764 0.8764 0.0000  1 Al 2.68, 2 Pb 2.98
Al 0.8764 0.6236 0.0000  1 Al 2.68, 2 Pb 2.98
Al 0.6236 0.1236 0.0000  1 Al 2.68, 2 Pb 2.98
Al 0.1236 0.3764 0.0000  1 Al 2.68, 2 Pb 2.98

***

Record 9
Below is a relaxed structure of Hf2AlSbSe, with properties calculated at the GGA-PBE level.

* formation energy (no corrections): 310.2 meV per atom
* electronic total energy: -29.71 eV/cell
* symmetry: No. 123
* size of the total moment: 0.00 Bohr magnetons per cell

abc: 5.0177 4.6952 5.0177
angles: 90.00 90.00 90.00
With the nearest neighbours (Å) after each atom.
Element x y z (fractional)
Sb 0.5000 0.5000 0.5000  8 Hf 3.44, 4 Al 3.55
Hf 0.0000 0.0000 0.5000  2 Se 2.51
Hf 0.5000 0.0000 0.0000  2 Se 2.51
Al 0.0000 0.5000 0.0000  2 Se 2.35
Se 0.0000 0.0000 0.0000  2 Al 2.35, 4 Hf 2.51

***

Record 10
Below is a relaxed structure of Tl4H2Pd5, with properties calculated at the GGA-PBE level.

* electronic total energy: -43.10 eV/cell
* symmetry: No. 10
* size of the total moment: 0.00 Bohr magnetons per cell

abc: 3.8477 6.5455 7.7135
angles: 97.01 90.00 90.00
With the nearest neighbours (Å) after each atom.
Element x y z (fractional)
Tl 0.5000 0.2950 0.6423  6 Pd 2.85-3.11, 4 H 3.06-3.07
Tl 0.5000 0.7681 0.8964  8 Pd 2.79-2.96, 2 H 3.11
Tl 0.5000 0.7050 0.3577  6 Pd 2.85-3.11, 4 H 3.06-3.07
Tl 0.5000 0.2319 0.1036  8 Pd 2.79-2.96, 2 H 3.11
H 0.0000 0.9297 0.6264  2 Pd 1.73
H 0.0000 0.0703 0.3736  2 Pd 1.73
Pd 0.0000 0.3342 0.3686  1 H 1.73
Pd 0.0000 0.9175 0.1743  1 H 1.73
Pd 0.0000 0.5000 0.0000  4 Tl 2.79, 2 Pd 2.89
Pd 0.0000 0.0825 0.8257  1 H 1.73
Pd 0.0000 0.6658 0.6314  1 H 1.73